Below is Pr8GaPd2 after structural relaxation, with properties calculated at the PBE level.

Output
Theoretical density   7.054 g/cm3
Total magnetic moment   0.00 μB/atom
Formation energy   -0.3559 eV/atom
Calculated total energy   -5.051 eV/atom
DOS at the Fermi energy   10.3 states/eV/f.u.

```
Pr8GaPd2
1.0
9.4048 -2.6632 0.0000
9.4048 2.6632 0.0000
-2.4110 0.0000 6.6249
Pr Ga Pd
8 1 2
Direct
0.0277 0.0277 0.2855
0.1994 0.1994 0.8392
0.3253 0.3253 0.4949
0.4070 0.4070 0.0291
0.5930 0.5930 0.9709
0.6747 0.6747 0.5051
0.8006 0.8006 0.1608
0.9723 0.9723 0.7145
0.5000 0.5000 0.5000
0.1699 0.1699 0.2275
0.8301 0.8301 0.7725
```

---

Below is BeIn2Br after structural relaxation, with properties calculated at the PBE level.

Output
Theoretical density   5.667 g/cm3
Total magnetic moment   0.00 μB/atom
Calculated total energy   -2.516 eV/atom
DOS at the Fermi energy   1.8 states/eV/f.u.

```
BeIn2Br
1.0
2.1263 -2.8042 0.0000
2.1263 2.8042 0.0000
0.0000 0.0000 7.8270
Be In Br
1 2 1
Direct
0.0000 0.0000 0.0000
0.5000 0.5000 0.1991
0.5000 0.5000 0.8009
0.0000 0.0000 0.5000
```

---

Below is La2ThMg after structural relaxation, with properties calculated at the PBE level.

Output
Theoretical density   6.738 g/cm3
Total magnetic moment   0.00 μB/atom
Formation energy   0.0212 eV/atom
Calculated total energy   -4.696 eV/atom
DOS at the Fermi energy   4.7 states/eV/f.u.

```
La2ThMg
1.0
1.8060 1.0427 11.6505
-1.8060 1.0427 11.6505
0.0000 -2.0854 11.6505
La Th Mg
2 1 1
Direct
0.0000 0.0000 0.0000
0.1683 0.1683 0.1683
0.5845 0.5845 0.5845
0.4173 0.4173 0.4173
```

---

Below is Np2Fe3NiP4 after structural relaxation, with properties calculated at the PBE level.

Output
Theoretical density   9.816 g/cm3
Total magnetic moment   0.61 μB/atom
Formation energy   -0.6727 eV/atom
Calculated total energy   -8.542 eV/atom
DOS at the Fermi energy   19.6 states/eV/f.u.

```
Np2Fe3NiP4
1.0
3.9169 0.0000 0.0000
0.0000 3.9169 0.0000
0.0000 0.0000 9.0874
Np Fe Ni P
2 3 1 4
Direct
0.0000 0.5000 0.2417
0.5000 0.0000 0.7583
0.0000 0.5000 0.8816
0.5000 0.0000 0.1184
0.5000 0.5000 0.5000
0.0000 0.0000 0.5000
0.0000 0.0000 0.0000
0.0000 0.5000 0.6355
0.5000 0.0000 0.3645
0.5000 0.5000 0.0000
```

---

> What is the formula in the first record?

Pr8GaPd2